The following is a DFT calculation (PBE) of a relaxed structure of Ti2AgCl. Values from VASP.

Calculated values
- ΔE_f (raw): 1.3 eV/f.u.
- Calculated total energy: -19.148 eV per formula unit
- E above lowest polymorph: 16.32 kJ/mol of atoms

The structure in Quantum ESPRESSO input format:
```
&SYSTEM
  ibrav = 0, nat = 8, ntyp = 3
/
ATOMIC_SPECIES
Ti 47.87 Ti.upf
Ag 107.87 Ag.upf
Cl 35.45 Cl.upf
CELL_PARAMETERS angstrom
-2.418 2.418 7.248
2.418 -2.418 7.248
2.418 2.418 -7.248
ATOMIC_POSITIONS crystal
Ti 0.063 0.625 0.938
Ti 0.375 0.313 0.438
Ti 0.687 0.125 0.062
Ti 0.875 0.937 0.562
Ag 0.250 0.750 0.500
Ag 0.500 0.500 0.000
Cl 0.000 0.000 0.000
Cl 0.750 0.250 0.500
```